Record 1
Below is SrHoTl6 after structural relaxation, with properties calculated at the PBE level.

```
8
Lattice="-3.406 -3.461 0.293 1.879 -2.181 -3.921 5.861 -5.283 5.747" Properties=species:S:1:pos:R:3 pbc="T T T"
Ho 2.931 -2.642 2.873
Tl 2.465 -2.466 -0.465
Tl -0.764 -2.821 -1.814
Tl 2.633 -5.638 4.397
Tl -0.178 -3.105 1.642
Tl 2.167 -5.462 1.059
Tl 5.275 -4.999 2.290
Sr 0.000 0.000 0.000
```

D(E_F) (states/eV/atom): 0.5308
DFT formation energy (eV per formula unit): -1.9
Raw total energy (eV/atom): -2.790

---

Record 2
Below is PmPr7Mg3 after structural relaxation, with properties calculated at the PBE level.

```
11
Lattice="8.441 0.000 0.000 0.000 7.288 0.000 0.000 -3.644 6.312" Properties=species:S:1:pos:R:3 pbc="T T T"
Pr 0.882 0.000 2.132
Pr 3.912 3.644 4.182
Pr 3.912 5.443 1.065
Pr 3.912 1.845 1.065
Pr 0.928 3.644 2.104
Pr 0.882 -1.798 5.246
Pr 0.882 1.798 5.246
Mg 6.603 -1.803 3.167
Mg 6.603 1.803 3.167
Mg 6.603 0.000 6.289
Pm 3.836 0.000 4.208
```

D(E_F) (states/eV/atom): 1.0358
DFT formation energy (eV per formula unit): 1.2
Raw total energy (eV/atom): -3.800

---

Record 3
Below is Co6Ni3Pt after structural relaxation, with properties calculated at the PBE level.

```
20
Lattice="2.511 0.000 -0.650 0.000 9.014 0.000 -2.470 0.000 11.134" Properties=species:S:1:pos:R:3 pbc="T T T"
Ni 1.255 4.507 -0.325
Ni -1.826 3.762 8.451
Ni 0.665 0.745 2.559
Ni -0.624 8.269 7.925
Ni 1.867 5.252 2.033
Ni -1.235 0.000 5.567
Co 0.987 6.650 3.801
Co 0.705 3.295 2.719
Co -1.785 1.212 8.611
Co 1.544 2.143 0.791
Co -0.152 2.557 9.742
Co -0.946 2.364 6.683
Co 0.213 7.064 5.985
Co -1.503 6.871 9.694
Co 1.826 7.802 1.873
Co -0.664 5.719 7.765
Co 0.193 6.457 0.743
Co -0.172 1.950 4.499
Pt 0.000 0.000 0.000
Pt 0.021 4.507 5.242
```

D(E_F) (states/eV/atom): 0.9883
DFT formation energy (eV per formula unit): 1.3
Raw total energy (eV/atom): -6.470

---

Record 4
Below is NbPtN2 after structural relaxation, with properties calculated at the PBE level.

```
8
Lattice="-0.973 3.667 2.844 -3.488 1.339 -2.920 -5.410 -0.293 2.478" Properties=species:S:1:pos:R:3 pbc="T T T"
N -3.684 1.334 -0.762
N -2.367 2.273 1.945
N -5.838 1.699 1.741
N -7.854 4.119 1.882
Nb -2.230 2.503 -0.038
Nb -5.564 1.774 -0.240
Pt -4.307 2.938 2.642
Pt 0.000 0.000 0.000
```

Formation energy (no corrections) (eV/atom): -0.036
D(E_F) (states/eV/atom): 0.7037
Raw total energy (eV/atom): -8.226
Energy relative to the lowest polymorph listed for this composition (meV per atom): 230

---

Record 5
Below is AcTbGeO5 after structural relaxation, with properties calculated at the PBE level.

```
16
Lattice="6.089 -0.052 0.065 -1.827 5.809 0.065 -1.693 -2.287 7.140" Properties=species:S:1:pos:R:3 pbc="T T T"
O 4.662 1.577 0.993
O -0.699 3.776 4.563
O -0.082 0.993 4.195
O 2.651 2.477 3.075
O 1.820 1.355 0.625
O 0.749 2.115 6.645
O 3.268 -0.306 2.707
O -2.093 1.893 6.277
O 4.023 -1.177 5.420
O -1.454 4.647 1.850
Tb -0.846 -1.143 3.570
Tb 0.000 0.000 0.000
Ge -0.553 2.210 5.420
Ge 3.121 1.260 1.850
Ac 0.391 3.281 1.850
Ac 2.178 0.188 5.420
```

Formation energy (no corrections) (eV/atom): -2.852
D(E_F) (states/eV/atom): 0.0000
Raw total energy (eV/atom): -7.621

---

Record 6
Below is CaB3Pt after structural relaxation, with properties calculated at the PBE level.

```
5
Lattice="-0.266 0.064 -4.173 -3.763 -1.812 0.212 -1.805 3.768 0.172" Properties=species:S:1:pos:R:3 pbc="T T T"
Pt 0.000 0.000 0.000
B -0.133 0.032 -2.087
B -1.882 -0.906 0.106
B -0.902 1.884 0.086
Ca -2.917 1.010 -1.894
```

D(E_F) (states/eV/atom): 0.7563
DFT formation energy (eV per formula unit): 3.6
Raw total energy (eV/atom): -4.894
Energy relative to the lowest polymorph listed for this composition (meV per atom): 0

---

Record 7
Below is Hf3CuF after structural relaxation, with properties calculated at the PBE level.

```
5
Lattice="4.436 0.000 0.000 0.000 4.436 0.000 0.000 0.000 4.436" Properties=species:S:1:pos:R:3 pbc="T T T"
Hf 0.000 2.218 0.000
Hf 0.000 0.000 2.218
Hf 2.218 0.000 0.000
F 0.000 0.000 0.000
Cu 2.218 2.218 2.218
```

Formation energy (no corrections) (eV/atom): -0.251
D(E_F) (states/eV/atom): 0.9751
Raw total energy (eV/atom): -7.417
Energy relative to the lowest polymorph listed for this composition (meV per atom): 0

---

Record 8
Below is YNiPt3 after structural relaxation, with properties calculated at the PBE level.

```
5
Lattice="5.058 0.000 0.000 0.000 5.058 0.000 0.000 0.000 5.058" Properties=species:S:1:pos:R:3 pbc="T T T"
Ni 2.529 2.529 2.529
Pt 0.000 0.000 2.529
Pt 2.529 0.000 0.000
Pt 0.000 2.529 0.000
Y 0.000 0.000 0.000
```

D(E_F) (states/eV/atom): 1.5591
DFT formation energy (eV per formula unit): 6.6
Raw total energy (eV/atom): -4.759
Energy relative to the lowest polymorph listed for this composition (meV per atom): 1385

---

Record 9
Below is Pm2ErGa3Pd4 after structural relaxation, with properties calculated at the PBE level.

```
10
Lattice="-3.846 -1.704 -0.667 1.284 -1.407 -3.810 3.472 -9.700 4.752" Properties=species:S:1:pos:R:3 pbc="T T T"
Pd 0.000 0.000 0.000
Pd 1.836 -4.039 -0.271
Pd 0.355 -7.216 2.784
Pd -1.281 -1.555 -2.239
Ga 1.736 -4.850 2.376
Ga 1.068 -1.894 -1.322
Ga 1.123 -9.362 3.835
Pm 3.325 -8.198 1.766
Pm -1.134 -3.057 0.747
Er 0.455 -6.405 0.137
```

D(E_F) (states/eV/atom): 0.8431
DFT formation energy (eV per formula unit): -8.0
Raw total energy (eV/atom): -5.193

---

Record 10
Below is Pm6Dy2Er after structural relaxation, with properties calculated at the PBE level.

```
18
Lattice="-1.583 5.884 -1.249 -4.845 -2.216 -8.569 -9.791 -1.288 2.072" Properties=species:S:1:pos:R:3 pbc="T T T"
Dy -5.309 2.173 -3.940
Dy -10.909 0.207 -3.806
Dy -10.726 2.966 -6.528
Dy -5.492 -0.586 -1.218
Er -9.698 0.091 0.709
Er -6.520 2.288 -8.455
Pm -10.266 4.018 -3.287
Pm -8.080 0.814 -5.662
Pm -7.565 -1.441 -8.063
Pm -13.552 2.359 -4.674
Pm -2.666 0.021 -3.072
Pm -5.952 -1.638 -4.459
Pm -4.848 3.224 -0.704
Pm -11.906 2.167 -1.050
Pm -4.312 0.212 -6.696
Pm -8.138 1.566 -2.084
Pm -8.653 3.821 0.317
Pm -11.370 -0.844 -7.042
```

D(E_F) (states/eV/atom): 1.3627
DFT formation energy (eV per formula unit): 0.8
Raw total energy (eV/atom): -4.612
Energy relative to the lowest polymorph listed for this composition (meV per atom): 0

---

Record 11
Below is KNaTe2I after structural relaxation, with properties calculated at the PBE level.

```
5
Lattice="6.461 0.000 0.000 0.000 6.461 0.000 0.000 0.000 6.513" Properties=species:S:1:pos:R:3 pbc="T T T"
K 0.000 0.000 0.000
I 0.000 0.000 3.256
Na 3.230 3.230 3.256
Te 0.000 3.230 0.000
Te 3.230 0.000 0.000
```

Formation energy (no corrections) (eV/atom): 0.024
D(E_F) (states/eV/atom): 1.1454
Raw total energy (eV/atom): -2.026
Energy relative to the lowest polymorph listed for this composition (meV per atom): 326

---

Record 12
Below is Sr12Tl5Pd3 after structural relaxation, with properties calculated at the PBE level.

```
80
Lattice="-3.337 10.564 -12.182 3.295 -14.833 -6.346 -13.008 -1.090 10.037" Properties=species:S:1:pos:R:3 pbc="T T T"
Sr -13.095 -0.779 -5.069
Sr -8.305 -5.207 -5.307
Sr 0.044 -4.580 -3.422
Sr -5.553 3.298 -2.394
Sr -4.746 -0.152 -3.185
Sr -3.302 -4.787 -13.123
Sr -7.085 -6.590 -0.113
Sr -5.348 -10.133 -0.547
Sr -8.232 1.663 0.036
Sr -8.139 -10.789 -2.774
Sr -7.676 -9.435 2.592
Sr -2.777 2.366 -7.064
Sr -2.855 5.775 -9.095
Sr -11.880 -2.708 -2.242
Sr -10.273 -7.725 -1.428
Sr -9.589 -6.700 4.796
Sr 0.062 -7.576 -6.026
Sr -9.749 -0.572 4.631
Sr -4.920 -5.341 -3.236
Sr -2.821 -1.649 -0.014
Sr -12.968 0.024 0.424
Sr -10.402 -3.942 2.579
Sr -10.229 -3.710 -8.477
Sr -7.497 -8.657 -6.097
Sr -7.703 4.774 -7.945
Sr -14.124 7.382 -3.316
Sr -8.130 -0.018 -5.256
Sr -10.195 -11.134 0.604
Sr -4.952 -3.786 -6.888
Sr -12.530 -0.185 6.933
Sr -2.108 -13.182 -3.483
Sr 1.074 -12.741 -5.176
Sr -3.462 1.341 -13.288
Sr -1.170 -2.651 -6.249
Sr -5.374 4.076 -11.083
Sr -5.965 1.231 -8.379
Sr -5.330 -2.305 2.528
Sr -4.911 5.430 -5.717
Sr -10.942 7.823 -5.008
Sr -4.818 -7.022 -8.527
Sr -9.334 2.954 -3.553
Sr -7.720 -3.054 -11.019
Sr -0.083 -5.383 -8.916
Sr -3.716 -8.313 -4.939
Sr -8.098 -1.573 -1.604
Sr -0.521 -5.174 -15.425
Sr -2.648 -1.417 -11.071
Sr -13.112 2.217 -2.465
Pd -7.750 -5.737 -8.416
Pd -2.893 2.224 -10.262
Pd -2.444 -5.582 -6.025
Pd -5.760 7.117 -8.943
Pd -10.606 0.223 -2.466
Pd -2.075 -2.017 -14.164
Pd -6.910 -7.844 -3.055
Pd -5.300 0.378 -0.075
Pd -10.157 -7.583 1.770
Pd -10.976 -3.342 5.673
Pd -7.290 -12.476 0.452
Pd -6.140 2.485 -5.437
Tl -6.525 -2.679 -4.246
Tl -6.504 -0.545 5.018
Tl -1.668 5.282 -6.091
Tl -0.021 -2.134 -9.264
Tl -2.455 -6.649 -10.657
Tl -4.857 -7.961 1.845
Tl 0.423 -10.474 -7.344
Tl -2.434 -4.514 -1.393
Tl -10.997 -5.476 -3.591
Tl -2.824 -10.213 -2.518
Tl -2.054 0.117 -4.900
Tl -13.473 5.115 -1.148
Tl -10.617 -0.845 -7.098
Tl -7.729 -3.603 0.848
Tl 1.647 -7.416 -3.173
Tl -5.321 -1.756 -9.339
Tl -10.226 4.854 -5.973
Tl 0.000 0.000 0.000
Tl -8.172 4.737 -1.073
Tl -10.596 1.290 2.166
```

D(E_F) (states/eV/atom): 0.7469
DFT formation energy (eV per formula unit): -0.7
Raw total energy (eV/atom): -2.416

---

Question: What is the raw total energy in the twelfth record?
Answer: -2.416 eV/atom

---

Question: Which value of raw total energy does entry 2 give?
Answer: -3.800 eV/atom

---

Question: D(E_F) of number 12 (Sr12Tl5Pd3)?
Answer: 0.7469 states/eV/atom

---

Question: Which of these has the lowest raw total energy?
Answer: NbPtN2